No. 1
Computed, not measured: an optimized crystal structure of BeCuSN2 at the PBE-GGA level of DFT.

CIF file:
```
data_BeCuSN2
_chemical_formula_sum 'Be1 Cu1 S1 N2'
_cell_length_a 3.464
_cell_length_b 3.464
_cell_length_c 7.055
_cell_angle_alpha 90.00
_cell_angle_beta 90.00
_cell_angle_gamma 90.00
_symmetry_space_group_name_H-M 'P 4/m m m'
_symmetry_Int_Tables_number 123
_symmetry_space_group_name_Hall '-P 4 2'
loop_
_atom_site_label
_atom_site_type_symbol
_atom_site_fract_x
_atom_site_fract_y
_atom_site_fract_z
Be1 Be 0.000 0.000 0.000
Cu1 Cu 0.500 0.500 0.500
S1 S 0.500 0.500 0.000
N1 N 0.000 0.500 0.500
```

No. 2
Computed, not measured: an optimized crystal structure of Li6Pm3Au20 at the PBE-GGA level of DFT.

Calculated values
Energy relative to the elements = -447 meV/atom

CIF file:
```
data_Li6Pm3Au20
_chemical_formula_sum 'Li24 Pm12 Au80'
_cell_length_a 12.799
_cell_length_b 12.799
_cell_length_c 12.799
_cell_angle_alpha 90.00
_cell_angle_beta 90.00
_cell_angle_gamma 90.00
_symmetry_space_group_name_H-M 'F m -3 m'
_symmetry_Int_Tables_number 225
_symmetry_space_group_name_Hall '-F 4 2 3'
loop_
_atom_site_label
_atom_site_type_symbol
_atom_site_fract_x
_atom_site_fract_y
_atom_site_fract_z
Li1 Li 0.000 0.000 0.230
Pm1 Pm 0.000 0.000 0.500
Pm2 Pm 0.250 0.250 0.250
Au1 Au 0.000 0.172 0.328
Au2 Au 0.116 0.116 0.116
```

No. 3
Computed, not measured: an optimized crystal structure of K2SrSi2 at the PBE-GGA level of DFT.

CIF file:
```
data_K2SrSi2
_chemical_formula_sum 'K4 Sr2 Si4'
_cell_length_a 8.085
_cell_length_b 8.085
_cell_length_c 5.547
_cell_angle_alpha 90.00
_cell_angle_beta 90.00
_cell_angle_gamma 90.00
_symmetry_space_group_name_H-M 'P 4/m b m'
_symmetry_Int_Tables_number 127
_symmetry_space_group_name_Hall '-P 4 2ab'
loop_
_atom_site_label
_atom_site_type_symbol
_atom_site_fract_x
_atom_site_fract_y
_atom_site_fract_z
K1 K 0.173 0.327 0.000
Sr1 Sr 0.000 0.000 0.500
Si1 Si 0.098 0.598 0.500
```

No. 4
Computed, not measured: an optimized crystal structure of SrTaW2 at the PBE-GGA level of DFT.

Calculated values
Energy relative to the elements = 1140 meV/atom

CIF file:
```
data_SrTaW2
_chemical_formula_sum 'Sr2 Ta2 W4'
_cell_length_a 3.152
_cell_length_b 5.111
_cell_length_c 9.859
_cell_angle_alpha 90.00
_cell_angle_beta 90.00
_cell_angle_gamma 90.00
_symmetry_space_group_name_H-M 'I m m m'
_symmetry_Int_Tables_number 71
_symmetry_space_group_name_Hall '-I 2 2'
loop_
_atom_site_label
_atom_site_type_symbol
_atom_site_fract_x
_atom_site_fract_y
_atom_site_fract_z
Sr1 Sr 0.000 0.000 0.000
Ta1 Ta 0.000 0.000 0.500
W1 W 0.000 0.500 0.230
```

No. 5
Computed, not measured: an optimized crystal structure of AgIF3 at the PBE-GGA level of DFT.

CIF file:
```
data_AgIF3
_chemical_formula_sum 'Ag1 I1 F3'
_cell_length_a 4.728
_cell_length_b 4.728
_cell_length_c 4.728
_cell_angle_alpha 90.00
_cell_angle_beta 90.00
_cell_angle_gamma 90.00
_symmetry_space_group_name_H-M 'P m -3 m'
_symmetry_Int_Tables_number 221
_symmetry_space_group_name_Hall '-P 4 2 3'
loop_
_atom_site_label
_atom_site_type_symbol
_atom_site_fract_x
_atom_site_fract_y
_atom_site_fract_z
Ag1 Ag 0.000 0.000 0.000
I1 I 0.500 0.500 0.500
F1 F 0.000 0.500 0.500
```

No. 6
Computed, not measured: an optimized crystal structure of InNi2PtS at the PBE-GGA level of DFT.

CIF file:
```
data_InNi2PtS
_chemical_formula_sum 'In1 Ni2 Pt1 S1'
_cell_length_a 4.587
_cell_length_b 4.587
_cell_length_c 5.030
_cell_angle_alpha 90.00
_cell_angle_beta 90.00
_cell_angle_gamma 90.00
_symmetry_space_group_name_H-M 'P 4/m m m'
_symmetry_Int_Tables_number 123
_symmetry_space_group_name_Hall '-P 4 2'
loop_
_atom_site_label
_atom_site_type_symbol
_atom_site_fract_x
_atom_site_fract_y
_atom_site_fract_z
In1 In 0.000 0.000 0.000
Ni1 Ni 0.000 0.500 0.500
Pt1 Pt 0.000 0.000 0.500
S1 S 0.500 0.500 0.000
```

Number 1: final energy -4.214 eV per atom. Number 2: final energy -3.595 eV per atom. Number 3: final energy -2.877 eV per atom. Number 4: final energy -8.720 eV per atom. Number 5: final energy -2.591 eV per atom. Number 6: final energy -4.063 eV per atom.